1.
A relaxed RbY4 crystal. Source: Alexandria via LeMat-Bulk, functional PBE-GGA.

Unit cell a=5.566 b=5.566 c=5.566 alpha=90.00 beta=90.00 gamma=90.00
Fractional coordinates of all 5 atoms:
Y1 0.000 0.000 0.000
Y2 0.500 0.000 0.500
Y3 0.000 0.500 0.500
Y4 0.500 0.500 0.000
Rb1 0.500 0.500 0.500

Calculated values
As for the total moment: 0.00 μB per atom. The space group is No. 221. The calculation puts the energy of formation from the pure elements at 1.085 eV per atom.


2.
A relaxed Y4Ru crystal. Source: Alexandria via LeMat-Bulk, functional PBE-GGA.

Unit cell a=5.821 b=5.821 c=5.821 alpha=109.47 beta=109.47 gamma=109.47
Fractional coordinates of all 5 atoms:
Y1 0.500 0.000 0.000
Y2 0.500 0.500 0.500
Y3 0.000 0.500 0.000
Y4 0.000 0.000 0.500
Ru1 0.000 0.000 0.000

Calculated values
The calculation puts the energy above the most stable polymorph in this dataset at 320 meV per atom. As for the total moment: 0.00 μB per atom. The space group is No. 229. The calculation puts the energy of formation from the pure elements at 0.176 eV per atom.


3.
A relaxed La2TbTe2N2 crystal. Source: Alexandria via LeMat-Bulk, functional PBE-GGA.

Unit cell a=4.487 b=4.487 c=8.900 alpha=104.60 beta=104.60 gamma=90.00
Fractional coordinates of all 7 atoms:
La1 0.396 0.396 0.791
La2 0.604 0.604 0.209
Tb1 0.000 0.000 0.000
Te1 0.185 0.185 0.370
Te2 0.815 0.815 0.630
N1 0.000 0.500 0.000
N2 0.500 0.000 0.000

Calculated values
As for the total moment: 0.00 μB per atom. The formation energy without anion corrections comes out at -1.305 eV per atom. The space group is No. 139.


4.
A relaxed Ba2ZnAu crystal. Source: Alexandria via LeMat-Bulk, functional PBE-GGA.

Unit cell a=4.042 b=4.042 c=8.942 alpha=90.00 beta=90.00 gamma=90.03
Fractional coordinates of all 4 atoms:
Au1 0.500 0.500 0.704
Ba1 0.000 0.000 0.909
Ba2 0.500 0.500 0.338
Zn1 0.000 0.000 0.550

Calculated values
As for the total moment: 0.00 μB per atom. The space group is No. 99. The calculation puts the energy of formation from the pure elements at -0.282 eV per atom.


5.
A relaxed ZnCoAs2 crystal. Source: Alexandria via LeMat-Bulk, functional PBE-GGA.

Unit cell a=2.859 b=5.547 c=5.546 alpha=51.37 beta=90.00 gamma=90.00
Fractional coordinates of all 4 atoms:
As1 0.000 0.062 0.062
As2 0.000 0.438 0.438
Co1 0.500 0.250 0.250
Zn1 0.500 0.750 0.750

Calculated values
As for the total moment: 0.14 μB per atom. The space group is No. 65. The calculation puts the energy of formation from the pure elements at 0.015 eV per atom.


6.
A relaxed Cr2FeAg crystal. Source: Alexandria via LeMat-Bulk, functional PBE-GGA.

Unit cell a=4.640 b=4.640 c=4.640 alpha=133.31 beta=133.31 gamma=68.16
Fractional coordinates of all 4 atoms:
Ag1 0.750 0.250 0.500
Cr1 0.000 0.000 0.000
Cr2 0.500 0.500 0.000
Fe1 0.250 0.750 0.500

Calculated values
The calculation puts the energy above the most stable polymorph in this dataset at 249 meV per atom. As for the total moment: 0.05 μB per atom. The space group is No. 139. The calculation puts the energy of formation from the pure elements at 0.588 eV per atom.


7.
A relaxed Sr2AgHgAu crystal. Source: Alexandria via LeMat-Bulk, functional PBE-GGA.

Unit cell a=5.968 b=5.140 c=5.968 alpha=90.00 beta=90.00 gamma=90.00
Fractional coordinates of all 5 atoms:
Sr1 0.000 0.000 0.500
Sr2 0.500 0.000 0.000
Au1 0.000 0.500 0.000
Hg1 0.500 0.500 0.500
Ag1 0.000 0.000 0.000

Calculated values
The calculation puts the energy above the most stable polymorph in this dataset at 375 meV per atom. As for the total moment: 0.00 μB per atom. The space group is No. 123. The calculation puts the energy of formation from the pure elements at -0.146 eV per atom.


8.
A relaxed PaTi2Fe9 crystal. Source: Alexandria via LeMat-Bulk, functional PBE-GGA.

Unit cell a=4.818 b=4.818 c=8.442 alpha=73.42 beta=73.42 gamma=60.00
Fractional coordinates of all 12 atoms:
Pa1 0.000 0.000 0.000
Ti1 0.856 0.856 0.433
Ti2 0.144 0.144 0.567
Fe1 0.667 0.667 0.000
Fe2 0.333 0.333 0.000
Fe3 0.500 0.500 0.500
Fe4 0.410 0.410 0.262
Fe5 0.917 0.410 0.262
Fe6 0.410 0.917 0.262
Fe7 0.590 0.590 0.738
Fe8 0.590 0.083 0.738
Fe9 0.083 0.590 0.738

Calculated values
As for the total moment: 1.18 μB per atom. The space group is No. 166. The calculation puts the energy of formation from the pure elements at -0.191 eV per atom.